No. 1
Material: CsRb12Cd6
Method: DFT, PBE
State: optimized geometry

Output
The value obtained for the calculated formation energy is -1 kJ/mol of formula units.

Lattice parameters (Å, degrees): 11.7127 11.7127 11.7127 109.47 109.47 109.47
Sites, in units of the cell vectors:
Cs1 0.0000 0.0000 0.0000
Rb1 0.3099 0.1190 0.8091
Rb2 0.3099 0.5009 0.1909
Rb3 0.6901 0.4991 0.8091
Rb4 0.6901 0.8810 0.1909
Rb5 0.1190 0.8091 0.3099
Rb6 0.5009 0.1909 0.3099
Rb7 0.4991 0.8091 0.6901
Rb8 0.8810 0.1909 0.6901
Rb9 0.8091 0.3099 0.1190
Rb10 0.1909 0.3099 0.5009
Rb11 0.8091 0.6901 0.4991
Rb12 0.1909 0.6901 0.8810
Cd1 0.3923 0.5000 0.8923
Cd2 0.6077 0.5000 0.1077
Cd3 0.5000 0.8923 0.3923
Cd4 0.5000 0.1077 0.6077
Cd5 0.8923 0.3923 0.5000
Cd6 0.1077 0.6077 0.5000

No. 2
Material: La4PSI2
Method: DFT, PBE
State: optimized geometry

Output
The value obtained for the uncorrected formation energy is -1.537 eV/atom.

Lattice parameters (Å, degrees): 4.2746 7.3587 8.1968 107.62 90.00 90.00
Sites, in units of the cell vectors:
La1 0.5000 0.2288 0.1915
La2 0.5000 0.7712 0.8085
La3 0.0000 0.2675 0.8072
La4 0.0000 0.7325 0.1928
P1 0.5000 0.5000 0.0000
S1 0.0000 0.0000 0.0000
I1 0.5000 0.0000 0.5000
I2 0.0000 0.5000 0.5000

No. 3
Material: KCd2Tc
Method: DFT, PBE
State: optimized geometry

Output
The value obtained for the calculated formation energy is 263 kJ/mol of formula units.

Lattice parameters (Å, degrees): 6.6576 6.6576 6.6576 155.29 130.87 55.75
Each line ends with the local moment (μB).
Sites, in units of the cell vectors:
Cd1 0.0218 0.0218 0.0000  0.01
Cd2 0.7701 0.2701 0.5000  -0.01
K1 0.4845 0.4845 0.0000  0.00
Tc1 0.2236 0.7236 0.5000  0.75

No. 4
Material: NdDy4Ho
Method: DFT, PBE
State: optimized geometry

Output
The value obtained for the calculated formation energy is 50 kJ/mol of formula units.

Lattice parameters (Å, degrees): 6.3625 7.1639 9.6420 108.50 105.60 99.44
Sites, in units of the cell vectors:
Nd1 0.3059 0.0559 0.1119
Nd2 0.6941 0.9441 0.8881
Dy1 0.1309 0.1560 0.7849
Dy2 0.7366 0.6781 0.5192
Dy3 0.1539 0.6288 0.7849
Dy4 0.2826 0.8411 0.5192
Dy5 0.7174 0.1589 0.4808
Dy6 0.8461 0.3712 0.2151
Dy7 0.2634 0.3219 0.4808
Dy8 0.8691 0.8440 0.2151
Ho1 0.3270 0.5770 0.1540
Ho2 0.6730 0.4230 0.8460

No. 5
Material: ZrAg2Ge
Method: DFT, PBE
State: optimized geometry

Output
The value obtained for the calculated formation energy is -15 kJ/mol of formula units.

Lattice parameters (Å, degrees): 3.8880 3.8880 10.9944 79.82 79.82 90.00
Sites, in units of the cell vectors:
Ge1 0.5000 0.5000 0.0000
Ge2 0.2500 0.7500 0.5000
Zr1 0.0000 0.0000 0.0000
Zr2 0.7500 0.2500 0.5000
Ag1 0.6205 0.1250 0.2500
Ag2 0.1295 0.6250 0.2500
Ag3 0.3750 0.3795 0.7500
Ag4 0.8750 0.8705 0.7500

No. 6
Material: Rb3TaSi
Method: DFT, PBE
State: optimized geometry

Output
The value obtained for the uncorrected formation energy is 1.794 eV/atom.

Lattice parameters (Å, degrees): 6.8622 6.8622 6.8622 90.00 90.00 90.00
Each line ends with the local moment (μB).
Sites, in units of the cell vectors:
Si1 0.5000 0.5000 0.5000  0.59
Rb1 0.0000 0.5000 0.0000  0.06
Rb2 0.0000 0.0000 0.5000  0.06
Rb3 0.5000 0.0000 0.0000  0.05
Ta1 0.0000 0.0000 0.0000  2.57

No. 7
Material: NpVGe
Method: DFT, PBE
State: optimized geometry

Output
The value obtained for the calculated formation energy is 35 kJ/mol of formula units.

Lattice parameters (Å, degrees): 2.8998 4.5972 4.5972 120.00 90.00 90.00
Each line ends with the local moment (μB).
Sites, in units of the cell vectors:
Np1 0.0000 0.0000 0.0000  2.77
Ge1 0.5001 0.6667 0.3333  -0.04
V1 0.4999 0.3333 0.6667  -1.19

No. 8
Material: ReSbI2
Method: DFT, PBE
State: optimized geometry

Output
The value obtained for the uncorrected formation energy is 1.441 eV/atom.

Lattice parameters (Å, degrees): 5.1331 5.1331 5.1331 60.00 60.00 60.00
Sites, in units of the cell vectors:
I1 0.2500 0.2500 0.2500
I2 0.7500 0.7500 0.7500
Re1 0.5000 0.5000 0.5000
Sb1 0.0000 0.0000 0.0000

No. 9
Material: Ba2Li3ErSb4
Method: DFT, PBE
State: optimized geometry

Output
The value obtained for the uncorrected formation energy is -0.833 eV/atom.

Lattice parameters (Å, degrees): 4.9287 4.9287 11.9585 90.00 90.00 90.00
Sites, in units of the cell vectors:
Ba1 0.5000 0.0000 0.2209
Ba2 0.0000 0.5000 0.7791
Li1 0.0000 0.0000 0.5000
Li2 0.5000 0.0000 0.8828
Li3 0.0000 0.5000 0.1172
Er1 0.5000 0.5000 0.5000
Sb1 0.5000 0.5000 0.0000
Sb2 0.0000 0.0000 0.0000
Sb3 0.5000 0.0000 0.6439
Sb4 0.0000 0.5000 0.3561

No. 10
Material: DyHo2Pt
Method: DFT, PBE
State: optimized geometry

Output
The value obtained for the calculated formation energy is -280 kJ/mol of formula units.

Lattice parameters (Å, degrees): 6.4751 7.0223 9.5468 90.00 90.00 90.00
Sites, in units of the cell vectors:
Dy1 0.6308 0.5253 0.2500
Dy2 0.8692 0.0253 0.2500
Dy3 0.3692 0.4747 0.7500
Dy4 0.1308 0.9747 0.7500
Ho1 0.1783 0.6799 0.0609
Ho2 0.3217 0.1799 0.4391
Ho3 0.8217 0.3201 0.5609
Ho4 0.6783 0.8201 0.9391
Ho5 0.8217 0.3201 0.9391
Ho6 0.6783 0.8201 0.5609
Ho7 0.1783 0.6799 0.4391
Ho8 0.3217 0.1799 0.0609
Pt1 0.0518 0.3882 0.2500
Pt2 0.4482 0.8882 0.2500
Pt3 0.9482 0.6118 0.7500
Pt4 0.5518 0.1118 0.7500

No. 11
Material: TaSnTe2Ru
Method: DFT, PBE
State: optimized geometry

Output
The value obtained for the uncorrected formation energy is 1.059 eV/atom.

Lattice parameters (Å, degrees): 5.2051 5.0162 5.2051 90.00 90.00 90.00
Each line ends with the local moment (μB).
Sites, in units of the cell vectors:
Ru1 0.0000 0.0000 0.0000  -0.08
Te1 0.0000 0.0000 0.5000  -0.07
Te2 0.5000 0.0000 0.0000  -0.10
Sn1 0.0000 0.5000 0.0000  0.04
Ta1 0.5000 0.5000 0.5000  1.77

No. 12
Material: Ba3SmSe4
Method: DFT, PBE
State: optimized geometry

Output
The value obtained for the uncorrected formation energy is -1.945 eV/atom.

Lattice parameters (Å, degrees): 4.5319 7.9221 7.9221 109.05 90.00 90.00
Sites, in units of the cell vectors:
Ba1 0.0000 0.0000 0.5000
Ba2 0.5000 0.5000 0.5000
Ba3 0.0000 0.5000 0.0000
Sm1 0.5000 0.0000 0.0000
Se1 0.0000 0.2252 0.2252
Se2 0.5000 0.7653 0.2347
Se3 0.0000 0.7748 0.7748
Se4 0.5000 0.2347 0.7653